Record 1
# CaCdGeBr2

A relaxed CaCdGeBr2 crystal (PBE, Alexandria).

Properties
Raw formation energy (meV per atom): 92
Symmetry: P4/mmm (123)
Crystal system: tetragonal

Cell lengths 5.277, 6.878, 5.277 Å; angles 90.00, 90.00, 90.00 degrees
Each line ends with the local moment (μB).
Fractional coordinates of all 5 atoms:
Br1 0.500 0.000 0.000  0.00
Br2 0.000 0.000 0.500  0.00
Ge1 0.500 0.500 0.500  0.27
Cd1 0.000 0.000 0.000  0.00
Ca1 0.000 0.500 0.000  0.04

Record 2
# ScInBr2

A relaxed ScInBr2 crystal (PBE, Alexandria).

Properties
Raw formation energy (meV per atom): -816
Symmetry: R3m (160)
Crystal system: trigonal
Energy above the most stable polymorph in this dataset (meV per atom): 167

Cell lengths 9.744, 9.744, 9.744 Å; angles 21.88, 21.88, 21.88 degrees
Each line ends with the local moment (μB).
Fractional coordinates of all 4 atoms:
In1 0.495 0.495 0.495  0.04
Sc1 0.749 0.749 0.749  0.49
Br1 0.023 0.023 0.023  0.00
Br2 0.232 0.232 0.232  0.02

Record 3
# NaHg2Te2

A relaxed NaHg2Te2 crystal (PBE, Alexandria).

Properties
Raw formation energy (meV per atom): -248
Symmetry: C2/c (15)
Crystal system: monoclinic
Energy above the most stable polymorph in this dataset (meV per atom): 0

Cell lengths 7.912, 7.912, 7.342 Å; angles 118.53, 118.53, 93.21 degrees
Fractional coordinates of all 10 atoms:
Hg1 0.414 0.722 0.909
Hg2 0.778 0.086 0.591
Hg3 0.222 0.914 0.409
Hg4 0.586 0.278 0.091
Na1 0.885 0.615 0.750
Na2 0.115 0.385 0.250
Te1 0.161 0.339 0.750
Te2 0.385 0.115 0.250
Te3 0.615 0.885 0.750
Te4 0.839 0.661 0.250

Record 4
# TbPmNd4

A relaxed TbPmNd4 crystal (PBE, Alexandria).

Properties
Symmetry: Cmcm (63)
Calculated formation energy (eV per atom): 0.22
Crystal system: orthorhombic
Energy above the most stable polymorph in this dataset (meV per atom): 165

Cell lengths 7.022, 7.022, 9.765 Å; angles 90.00, 90.00, 118.82 degrees
Fractional coordinates of all 12 atoms:
Tb1 0.000 0.000 0.500
Tb2 0.000 0.000 0.000
Pm1 0.184 0.816 0.750
Pm2 0.816 0.184 0.250
Nd1 0.323 0.677 0.426
Nd2 0.677 0.323 0.926
Nd3 0.362 0.201 0.250
Nd4 0.677 0.323 0.574
Nd5 0.201 0.362 0.750
Nd6 0.323 0.677 0.074
Nd7 0.799 0.638 0.250
Nd8 0.638 0.799 0.750

Number 1: total magnetization 0.153 μB/atom. Number 2: total magnetization 0.229 μB/atom. Number 3: total magnetization 0.000 μB/atom. Number 4: total magnetization 0.000 μB/atom.